# Pr4GaTeN

A relaxed structure of Pr4GaTeN (PBE-GGA, Alexandria via LeMat-Bulk).

Calculated values
As for the space-group type: No. 63. The value obtained for the raw formation energy is -0.871 eV per atom.

abc: 8.819 8.819 6.959
angles: 90.00 90.00 133.93
Fractional coordinates of all 14 atoms:
Pr (0.000, 0.500, 0.000)
Pr (0.000, 0.500, 0.500)
Pr (0.079, 0.921, 0.750)
Pr (0.411, 0.589, 0.750)
Pr (0.500, 0.000, 0.000)
Pr (0.500, 0.000, 0.500)
Pr (0.589, 0.411, 0.250)
Pr (0.921, 0.079, 0.250)
Ga (0.116, 0.884, 0.250)
Ga (0.884, 0.116, 0.750)
Te (0.392, 0.608, 0.250)
Te (0.608, 0.392, 0.750)
N (0.237, 0.763, 0.750)
N (0.763, 0.237, 0.250)

# CdAs2SeBr

A relaxed structure of CdAs2SeBr (PBE-GGA, Alexandria via LeMat-Bulk).

Calculated values
As for the space-group type: No. 123. The value obtained for the raw formation energy is 0.819 eV per atom. For the energy above the lowest structure with this stoichiometry, the calculation gives 212.9 meV per atom.

abc: 5.292 5.292 5.161
angles: 90.00 90.00 90.00
Fractional coordinates of all 5 atoms:
Cd (0.000, 0.000, 0.000)
As (0.000, 0.500, 0.000)
As (0.500, 0.000, 0.000)
Se (0.500, 0.500, 0.500)
Br (0.000, 0.000, 0.500)

# ErSc3Pb2

A relaxed structure of ErSc3Pb2 (PBE-GGA, Alexandria via LeMat-Bulk).

Calculated values
As for the space-group type: No. 115. For the calculated formation energy, the calculation gives -0.3527 eV/atom. For the energy above the lowest structure with this stoichiometry, the calculation gives 0.0 meV per atom.

abc: 4.370 4.370 8.085
angles: 90.00 90.00 90.00
Fractional coordinates of all 6 atoms:
Er (0.000, 0.000, 0.000)
Sc (0.000, 0.500, 0.335)
Sc (0.500, 0.000, 0.665)
Sc (0.500, 0.500, 0.000)
Pb (0.000, 0.500, 0.709)
Pb (0.500, 0.000, 0.291)

# Pr2MgNi4Sn3

A relaxed structure of Pr2MgNi4Sn3 (PBE-GGA, Alexandria via LeMat-Bulk).

Calculated values
As for the space-group type: No. 115. For the calculated formation energy, the calculation gives -0.4832 eV/atom.

abc: 4.441 4.441 10.214
angles: 90.00 90.00 90.00
Fractional coordinates of all 10 atoms:
Pr (0.000, 0.500, 0.237)
Pr (0.500, 0.000, 0.763)
Mg (0.000, 0.000, 0.500)
Ni (0.000, 0.000, 0.000)
Ni (0.000, 0.500, 0.629)
Ni (0.500, 0.000, 0.371)
Ni (0.500, 0.500, 0.000)
Sn (0.000, 0.500, 0.873)
Sn (0.500, 0.000, 0.127)
Sn (0.500, 0.500, 0.500)

# CaY4Ta

A relaxed structure of CaY4Ta (PBE-GGA, Alexandria via LeMat-Bulk).

Calculated values
As for the space-group type: No. 216. For the calculated formation energy, the calculation gives 0.7019 eV/atom.

abc: 6.399 6.399 6.399
angles: 60.00 60.00 60.00
Fractional coordinates of all 6 atoms:
Ca (0.000, 0.000, 0.000)
Y (0.377, 0.377, 0.377)
Y (0.377, 0.377, 0.868)
Y (0.377, 0.868, 0.377)
Y (0.868, 0.377, 0.377)
Ta (0.750, 0.750, 0.750)

# Ti2ReO2

A relaxed structure of Ti2ReO2 (PBE-GGA, Alexandria via LeMat-Bulk).

Calculated values
As for the space-group type: No. 127. The value obtained for the raw formation energy is -0.778 eV per atom. For the energy above the lowest structure with this stoichiometry, the calculation gives 627.2 meV per atom.

abc: 6.731 6.731 2.630
angles: 90.00 90.00 90.00
Fractional coordinates of all 10 atoms:
Ti (0.142, 0.358, 0.000)
Ti (0.358, 0.858, 0.000)
Ti (0.642, 0.142, 0.000)
Ti (0.858, 0.642, 0.000)
Re (0.000, 0.000, 0.000)
Re (0.500, 0.500, 0.000)
O (0.118, 0.618, 0.500)
O (0.382, 0.118, 0.500)
O (0.618, 0.882, 0.500)
O (0.882, 0.382, 0.500)

# Tb2MgNi9

A relaxed structure of Tb2MgNi9 (PBE-GGA, Alexandria via LeMat-Bulk).

Calculated values
As for the space-group type: No. 166. For the calculated formation energy, the calculation gives -0.2790 eV/atom.

abc: 8.558 8.558 8.558
angles: 33.43 33.43 33.43
Fractional coordinates of all 12 atoms:
Tb (0.136, 0.136, 0.136)
Tb (0.864, 0.864, 0.864)
Mg (0.000, 0.000, 0.000)
Ni (0.080, 0.581, 0.581)
Ni (0.333, 0.333, 0.333)
Ni (0.419, 0.419, 0.920)
Ni (0.419, 0.920, 0.419)
Ni (0.500, 0.500, 0.500)
Ni (0.581, 0.080, 0.581)
Ni (0.581, 0.581, 0.080)
Ni (0.667, 0.667, 0.667)
Ni (0.920, 0.419, 0.419)

# In2AgI4

A relaxed structure of In2AgI4 (PBE-GGA, Alexandria via LeMat-Bulk).

Calculated values
As for the space-group type: No. 12. The value obtained for the raw formation energy is -0.328 eV per atom. For the energy above the lowest structure with this stoichiometry, the calculation gives 0.0 meV per atom.

abc: 8.834 8.834 7.837
angles: 116.03 116.03 29.22
Fractional coordinates of all 7 atoms:
In (0.240, 0.240, 0.238)
In (0.760, 0.760, 0.762)
Ag (0.500, 0.500, 0.500)
I (0.110, 0.110, 0.762)
I (0.380, 0.380, 0.696)
I (0.620, 0.620, 0.304)
I (0.890, 0.890, 0.238)

# Hg2PtO4

A relaxed structure of Hg2PtO4 (PBE-GGA, Alexandria via LeMat-Bulk).

Calculated values
As for the space-group type: No. 12. The value obtained for the raw formation energy is -0.323 eV per atom. For the energy above the lowest structure with this stoichiometry, the calculation gives 0.0 meV per atom.

abc: 5.689 5.689 6.137
angles: 112.01 112.01 32.97
Fractional coordinates of all 7 atoms:
Hg (0.146, 0.146, 0.124)
Hg (0.854, 0.854, 0.876)
Pt (0.500, 0.500, 0.500)
O (0.102, 0.102, 0.447)
O (0.366, 0.366, 0.162)
O (0.634, 0.634, 0.838)
O (0.898, 0.898, 0.553)

# Ho2TmZn2In2

A relaxed structure of Ho2TmZn2In2 (PBE-GGA, Alexandria via LeMat-Bulk).

Calculated values
As for the space-group type: No. 166. For the calculated formation energy, the calculation gives -0.2534 eV/atom.

abc: 9.352 9.352 9.352
angles: 29.04 29.04 29.04
Fractional coordinates of all 7 atoms:
Ho (0.127, 0.127, 0.127)
Ho (0.873, 0.873, 0.873)
Tm (0.000, 0.000, 0.000)
Zn (0.394, 0.394, 0.394)
Zn (0.606, 0.606, 0.606)
In (0.264, 0.264, 0.264)
In (0.736, 0.736, 0.736)

# HoTmIrRh

A relaxed structure of HoTmIrRh (PBE-GGA, Alexandria via LeMat-Bulk).

Calculated values
As for the space-group type: No. 216. For the calculated formation energy, the calculation gives -0.9340 eV/atom.

abc: 4.800 4.800 4.800
angles: 60.00 60.00 60.00
Fractional coordinates of all 4 atoms:
Ho (0.000, 0.000, 0.000)
Tm (0.500, 0.500, 0.500)
Ir (0.250, 0.250, 0.250)
Rh (0.750, 0.750, 0.750)

# PmPu2O

A relaxed structure of PmPu2O (PBE-GGA, Alexandria via LeMat-Bulk).

Calculated values
As for the space-group type: No. 166. The value obtained for the raw formation energy is -0.333 eV per atom.

abc: 6.893 6.893 6.893
angles: 33.69 33.69 33.69
Fractional coordinates of all 4 atoms:
Pm (0.000, 0.000, 0.000)
Pu (0.189, 0.189, 0.189)
Pu (0.811, 0.811, 0.811)
O (0.500, 0.500, 0.500)

Magnetization (μB/f.u.)
0.00 0.62 0.00 0.00 1.76 0.00 2.21 0.00 0.00 0.00 0.00 0.00